# GaTeMo PBE relaxed
data_GaTeMo
_chemical_formula_sum 'Ga4 Te4 Mo4'
_cell_length_a 6.403
_cell_length_b 6.403
_cell_length_c 6.403
_cell_angle_alpha 90.00
_cell_angle_beta 90.00
_cell_angle_gamma 90.00
_symmetry_space_group_name_H-M 'F -4 3 m'
_symmetry_Int_Tables_number 216
_symmetry_space_group_name_Hall 'F -4 2 3'
loop_
_atom_site_label
_atom_site_type_symbol
_atom_site_fract_x
_atom_site_fract_y
_atom_site_fract_z
Ga1 Ga 0.000 0.000 0.000
Te1 Te 0.000 0.000 0.500
Mo1 Mo 0.250 0.250 0.250
# E above lowest polymorph in meV per atom: 0.0